[1]
# TcPPd3

TcPPd3 after structural relaxation (GGA-PBE, Alexandria via LeMat-Bulk).

```
TcPPd3
1.0
-3.296 -2.781 -1.235
2.679 -1.788 -3.122
1.443 -3.031 2.975
Pd Tc P
3 1 1
direct
0.000 0.000 0.500
0.500 0.000 0.000
0.000 0.500 0.000
0.500 0.500 0.500
0.000 0.000 0.000
```

Output
Energy: -29.50 eV for the cell shown
Formation energy from the elements: 1.86 eV/f.u.
Distance to the lowest polymorph of the same formula: 0.000 eV per atom

=====

[2]
# TcPPd3

TcPPd3 after structural relaxation (GGA-PBE, Alexandria via LeMat-Bulk).

```
TcPPd3
1.0
4.747 0.000 0.000
0.000 4.747 0.000
0.000 0.000 4.747
Pd P Tc
3 1 1
direct
0.000 0.000 0.500
0.000 0.500 0.000
0.500 0.000 0.000
0.500 0.500 0.500
0.000 0.000 0.000
```

Output
Energy: -24.03 eV for the cell shown
Formation energy from the elements: 7.32 eV/f.u.
Distance to the lowest polymorph of the same formula: 1.093 eV per atom

=====

[3]
# TcPPd

TcPPd after structural relaxation (GGA-PBE, Alexandria via LeMat-Bulk).

```
TcPPd
1.0
3.988 0.000 0.000
1.994 3.454 0.000
1.994 1.151 3.256
P Pd Tc
1 1 1
direct
0.250 0.250 0.250
0.500 0.500 0.500
0.000 0.000 0.000
```

Output
Energy: -22.10 eV for the cell shown
Formation energy from the elements: -1.14 eV/f.u.

=====

[4]
# TcP2Pd2

TcP2Pd2 after structural relaxation (GGA-PBE, Alexandria via LeMat-Bulk).

```
TcP2Pd2
1.0
3.960 0.000 0.000
0.000 3.960 0.000
1.980 1.980 4.872
Tc Pd P
1 2 2
direct
0.000 0.000 0.000
0.750 0.250 0.500
0.250 0.750 0.500
0.607 0.607 0.786
0.393 0.393 0.214
```

Output
Energy: -31.00 eV for the cell shown
Formation energy from the elements: 0.58 eV/f.u.
Distance to the lowest polymorph of the same formula: 0.420 eV per atom

=====

[5]
# Tl2TcPPd

Tl2TcPPd after structural relaxation (GGA-PBE, Alexandria via LeMat-Bulk).

```
Tl2TcPPd
1.0
-4.180 2.279 -2.407
-2.673 -3.078 1.727
-0.785 3.083 4.282
Pd Tl Tc P
1 2 1 1
direct
0.500 0.500 0.500
0.000 0.000 0.500
0.500 0.000 0.000
0.000 0.000 0.000
0.000 0.500 0.000
```

Output
Energy: -23.22 eV for the cell shown
Formation energy from the elements: 2.48 eV/f.u.

=====

[6]
# UTc2P2Pd

UTc2P2Pd after structural relaxation (GGA-PBE, Alexandria via LeMat-Bulk).

```
UTc2P2Pd
1.0
4.013 0.000 0.000
0.000 6.865 0.000
0.000 0.000 7.013
U P Tc Pd
2 4 4 2
direct
0.000 0.973 0.381
0.000 0.473 0.619
0.000 0.188 0.915
0.500 0.285 0.355
0.500 0.785 0.645
0.000 0.688 0.085
0.500 0.072 0.089
0.500 0.572 0.911
0.000 0.370 0.187
0.000 0.870 0.813
0.500 0.158 0.690
0.500 0.658 0.310
```

Output
Energy: -102.16 eV for the cell shown
Formation energy from the elements: -3.05 eV/f.u.